# 1
First-principles (SCAN) data for CdAg2Au at its PBEsol-relaxed geometry, as listed in Alexandria via LeMat-Bulk.

a = 2.970 Å, b = 4.970 Å, c = 4.970 Å
α = 109.50°, β = 90.00°, γ = 90.00°
Fractional positions:
Cd  0.500  0.500  0.500
Ag  0.000  0.500  0.000
Ag  0.000  0.000  0.500
Au  0.500  0.000  0.000

Computed properties:
Symmetry = Cmmm
DFT total energy = -162.7 eV per cell
Energy relative to the elements = -0.09 eV/atom
Density of states at the Fermi level = 0.253 states/eV per atom

# 2
First-principles (SCAN) data for LiNi2OF3 at its PBEsol-relaxed geometry, as listed in Alexandria via LeMat-Bulk.

a = 5.025 Å, b = 5.757 Å, c = 10.019 Å
α = 90.00°, β = 90.00°, γ = 90.00°
Site moments in Bohr magnetons follow the coordinates.
Fractional positions:
Li  0.026  0.250  0.592  0.00
Li  0.974  0.750  0.408  0.00
Li  0.526  0.750  0.908  0.00
Li  0.474  0.250  0.092  0.00
F  0.270  0.494  0.169  0.10
F  0.215  0.250  0.427  0.09
F  0.770  0.506  0.331  0.10
F  0.730  0.994  0.831  0.10
F  0.715  0.750  0.073  0.09
F  0.230  0.006  0.669  0.10
F  0.730  0.506  0.831  0.10
F  0.230  0.494  0.669  0.10
F  0.785  0.750  0.573  0.09
F  0.285  0.250  0.927  0.09
F  0.770  0.994  0.331  0.10
F  0.270  0.006  0.169  0.10
Ni  0.003  0.250  0.256  1.74
Ni  0.500  0.500  0.500  1.72
Ni  0.997  0.750  0.744  1.74
Ni  0.500  0.000  0.500  1.72
Ni  0.503  0.750  0.244  1.74
Ni  0.000  0.000  0.000  1.72
Ni  0.497  0.250  0.756  1.74
Ni  0.000  0.500  0.000  1.72
O  0.840  0.250  0.085  0.13
O  0.340  0.750  0.415  0.13
O  0.160  0.750  0.915  0.13
O  0.660  0.250  0.585  0.13

Computed properties:
Symmetry = Pnma
Energy relative to the lowest polymorph listed for this composition = 0.000 eV/atom
DFT total energy = -266.5 eV per cell
Formation energy from raw total energies = -2146 meV/atom
Density of states at the Fermi level = 0.000 states/eV per atom

# 3
First-principles (SCAN) data for RbZr2As2 at its PBEsol-relaxed geometry, as listed in Alexandria via LeMat-Bulk.

a = 5.121 Å, b = 5.121 Å, c = 6.212 Å
α = 114.34°, β = 114.34°, γ = 90.00°
Site moments in Bohr magnetons follow the coordinates.
Fractional positions:
Zr  0.330  0.330  0.660  -0.19
Zr  0.670  0.670  0.340  -0.19
As  0.250  0.750  0.500  0.02
As  0.750  0.250  0.500  0.02
Rb  0.000  0.000  0.000  -0.01

Computed properties:
Symmetry = I4/mmm
DFT total energy = -124.9 eV per cell
Energy relative to the elements = -0.47 eV/atom
Density of states at the Fermi level = 0.743 states/eV per atom

# 4
First-principles (SCAN) data for Co2CuTc at its PBEsol-relaxed geometry, as listed in Alexandria via LeMat-Bulk.

a = 2.578 Å, b = 4.256 Å, c = 4.291 Å
α = 90.00°, β = 90.00°, γ = 90.00°
Site moments in Bohr magnetons follow the coordinates.
Fractional positions:
Cu  0.500  0.500  0.000  0.08
Co  0.000  0.000  0.000  1.96
Co  0.500  0.000  0.500  1.83
Tc  0.000  0.500  0.500  0.68

Computed properties:
Symmetry = Pmmm
Energy relative to the lowest polymorph listed for this composition = 0.060 eV/atom
DFT total energy = -83.7 eV per cell
Energy relative to the elements = 0.30 eV/atom
Density of states at the Fermi level = 0.704 states/eV per atom

# 5
First-principles (SCAN) data for IrWCl2 at its PBEsol-relaxed geometry, as listed in Alexandria via LeMat-Bulk.

a = 3.892 Å, b = 3.892 Å, c = 4.113 Å
α = 90.00°, β = 90.00°, γ = 90.00°
Fractional positions:
W  0.000  0.000  0.500
Cl  0.500  0.000  0.000
Cl  0.000  0.500  0.000
Ir  0.500  0.500  0.500

Computed properties:
Symmetry = P4/mmm
Energy relative to the lowest polymorph listed for this composition = 1.453 eV/atom
DFT total energy = -150.6 eV per cell
Formation energy from raw total energies = 1535 meV/atom
Density of states at the Fermi level = 1.064 states/eV per atom

# 6
First-principles (SCAN) data for MnAgSe2 at its PBEsol-relaxed geometry, as listed in Alexandria via LeMat-Bulk.

a = 3.691 Å, b = 3.688 Å, c = 6.797 Å
α = 105.75°, β = 90.00°, γ = 120.02°
Site moments in Bohr magnetons follow the coordinates.
Fractional positions:
Mn  0.500  0.000  0.000  4.06
Se  0.758  0.517  0.777  -0.11
Se  0.242  0.483  0.223  -0.11
Ag  0.000  0.000  0.500  -0.02

Computed properties:
Symmetry = R-3m
DFT total energy = -91.9 eV per cell
Formation energy from raw total energies = -521 meV/atom
Density of states at the Fermi level = 0.215 states/eV per atom

# 7
First-principles (SCAN) data for Li3MnFe2B3O9 at its PBEsol-relaxed geometry, as listed in Alexandria via LeMat-Bulk.

a = 3.008 Å, b = 8.121 Å, c = 8.152 Å
α = 119.92°, β = 90.00°, γ = 90.00°
Site moments in Bohr magnetons follow the coordinates.
Fractional positions:
Li  0.000  0.300  0.012  0.00
Li  0.000  0.987  0.288  0.00
Li  0.000  0.715  0.699  0.00
O  0.000  0.863  0.443  0.09
O  0.000  0.255  0.468  0.08
O  0.500  0.918  0.113  0.05
O  0.000  0.527  0.780  0.07
O  0.000  0.213  0.741  0.08
O  0.500  0.891  0.806  0.07
O  0.000  0.558  0.425  0.09
O  0.000  0.577  0.141  0.07
O  0.500  0.199  0.085  0.07
B  0.500  0.002  0.001  0.02
B  0.000  0.666  0.336  0.02
B  0.000  0.332  0.663  0.03
Fe  0.500  0.359  0.365  3.61
Fe  0.500  0.006  0.641  3.61
Mn  0.500  0.632  0.991  4.52

Computed properties:
Symmetry = Pm
DFT total energy = -180.1 eV per cell
Formation energy from raw total energies = -2223 meV/atom
Density of states at the Fermi level = 0.027 states/eV per atom

# 8
First-principles (SCAN) data for Be3CdGa at its PBEsol-relaxed geometry, as listed in Alexandria via LeMat-Bulk.

a = 4.258 Å, b = 4.258 Å, c = 4.258 Å
α = 90.00°, β = 90.00°, γ = 90.00°
Fractional positions:
Be  0.000  0.500  0.000
Be  0.000  0.000  0.500
Be  0.500  0.000  0.000
Cd  0.500  0.500  0.500
Ga  0.000  0.000  0.000

Computed properties:
Symmetry = Pm-3m
DFT total energy = -55.9 eV per cell
Energy relative to the elements = 0.78 eV/atom
Density of states at the Fermi level = 0.316 states/eV per atom

# 9
First-principles (SCAN) data for Zn2AuI2 at its PBEsol-relaxed geometry, as listed in Alexandria via LeMat-Bulk.

a = 4.952 Å, b = 4.952 Å, c = 6.639 Å
α = 111.90°, β = 111.90°, γ = 90.00°
Fractional positions:
I  0.652  0.652  0.304
I  0.348  0.348  0.696
Zn  0.250  0.750  0.500
Zn  0.750  0.250  0.500
Au  0.000  0.000  0.000

Computed properties:
Symmetry = I4/mmm
DFT total energy = -167.6 eV per cell
Formation energy from raw total energies = 415 meV/atom
Density of states at the Fermi level = 0.228 states/eV per atom

# 10
First-principles (SCAN) data for MgZr2Ta at its PBEsol-relaxed geometry, as listed in Alexandria via LeMat-Bulk.

a = 2.962 Å, b = 2.962 Å, c = 9.821 Å
α = 90.00°, β = 90.00°, γ = 104.49°
Fractional positions:
Ta  0.500  0.500  0.000
Zr  0.000  0.000  0.770
Zr  0.000  0.000  0.230
Mg  0.500  0.500  0.500

Computed properties:
Symmetry = Cmmm
DFT total energy = -132.7 eV per cell
Energy relative to the elements = 0.07 eV/atom
Density of states at the Fermi level = 0.902 states/eV per atom

# 11
First-principles (SCAN) data for TcHg2Cl at its PBEsol-relaxed geometry, as listed in Alexandria via LeMat-Bulk.

a = 3.010 Å, b = 5.037 Å, c = 5.037 Å
α = 90.00°, β = 90.00°, γ = 90.00°
Site moments in Bohr magnetons follow the coordinates.
Fractional positions:
Cl  0.500  0.000  0.000  0.04
Hg  0.000  0.000  0.500  -0.03
Hg  0.000  0.500  0.000  -0.03
Tc  0.500  0.500  0.500  2.47

Computed properties:
Symmetry = P4/mmm
Energy relative to the lowest polymorph listed for this composition = 0.319 eV/atom
DFT total energy = -177.4 eV per cell
Formation energy from raw total energies = 500 meV/atom
Density of states at the Fermi level = 0.463 states/eV per atom

# 12
First-principles (SCAN) data for HgBi2O at its PBEsol-relaxed geometry, as listed in Alexandria via LeMat-Bulk.

a = 4.921 Å, b = 4.921 Å, c = 4.921 Å
α = 60.00°, β = 60.00°, γ = 60.00°
Fractional positions:
O  0.000  0.000  0.000
Bi  0.250  0.250  0.250
Bi  0.750  0.750  0.750
Hg  0.500  0.500  0.500

Computed properties:
Symmetry = Fm-3m
DFT total energy = -230.6 eV per cell
Formation energy from raw total energies = 235 meV/atom
Density of states at the Fermi level = 0.694 states/eV per atom